Run A
Entry from Alexandria: a relaxed structure of Rb3C4 (PBE).

Unit cell a=7.9499 b=7.9499 c=4.0167 alpha=90.00 beta=90.00 gamma=120.00
Last column: nearest neighbours and their distance in Å.
Space group P6/mmm (No. 191)
Symmetry-distinct sites (fractional):
Rb  0.0000  0.5000  0.0000 [3 per cell]  4 C 3.05
C  0.0000  0.0000  0.3404 [2 per cell]  1 C 1.28
C  0.3333  0.6667  0.5000 [2 per cell]  6 Rb 3.05

Values from the calculation:
theoretical density = 2.3 g cm⁻³
spin magnetization = 6.093 Bohr magnetons per cell
calculated volume = 219.9 Å³/f.u.

Run B
Entry from Alexandria: a relaxed structure of Rb3C4 (PBE).

Unit cell a=4.5604 b=4.5604 c=21.7423 alpha=90.00 beta=90.00 gamma=90.00
Last column: nearest neighbours and their distance in Å.
Space group I4/mmm (No. 139)
Symmetry-distinct sites (fractional):
Rb  0.0000  0.0000  0.0000 [2 per cell]  8 C 3.29
Rb  0.0000  0.0000  0.3312 [4 per cell]  6 C 3.04-3.26
C  0.0000  0.0000  0.1813 [4 per cell]  5 Rb 3.24-3.26
C  0.0000  0.0000  0.4709 [4 per cell]  1 C 1.26

Values from the calculation:
theoretical density = 2.2 g cm⁻³
spin magnetization = 12.451 Bohr magnetons per cell
calculated volume = 226.1 Å³/f.u.

Which of them is the least stable? Correct choice: run A.

Run A
Entry from Alexandria: a relaxed structure of Rb3C4 (PBE).

Unit cell a=7.4059 b=7.4059 c=7.4059 alpha=90.00 beta=90.00 gamma=90.00
Last column: nearest neighbours and their distance in Å.
Space group P-43m (No. 215)
Symmetry-distinct sites (fractional):
Rb  0.0000  0.0000  0.5000 [3 per cell]  4 C 3.08
C  0.2118  0.2118  0.2118 [4 per cell]  3 Rb 3.08

Values from the calculation:
theoretical density = 1.2 g cm⁻³
spin magnetization = 11.000 Bohr magnetons per cell
calculated volume = 406.2 Å³/f.u.

Run B
Entry from Alexandria: a relaxed structure of Rb3C4 (PBE).

Unit cell a=6.4281 b=6.4281 c=6.4281 alpha=90.00 beta=90.00 gamma=90.00
Last column: nearest neighbours and their distance in Å.
Space group Pm-3m (No. 221)
Symmetry-distinct sites (fractional):
Rb  0.0000  0.0000  0.5000 [3 per cell]  6 C 3.21
C  0.0000  0.0000  0.0000 [1 per cell]  6 Rb 3.21
C  0.0000  0.5000  0.5000 [3 per cell]  4 Rb 3.21

Values from the calculation:
theoretical density = 1.9 g cm⁻³
spin magnetization = 11.000 Bohr magnetons per cell
calculated volume = 265.6 Å³/f.u.

Which of them is the least stable? Correct choice: run A.

Run A
Entry from Alexandria: a relaxed structure of Rb4C (PBE).

Unit cell a=4.1921 b=10.1683 c=13.4870 alpha=90.00 beta=90.00 gamma=90.00
Last column: nearest neighbours and their distance in Å.
Space group Immm (No. 71)
Symmetry-distinct sites (fractional):
Rb  0.0000  0.0000  0.1950 [4 per cell]  2 C 3.36, 2 Rb 3.72
Rb  0.0000  0.2583  0.0000 [4 per cell]  2 C 3.36, 2 Rb 3.72
C  0.0000  0.5000  0.5000 [2 per cell]  8 Rb 3.36

Values from the calculation:
theoretical density = 2.0 g cm⁻³
spin magnetization = 3.660 Bohr magnetons per cell
calculated volume = 287.5 Å³/f.u.

Run B
Entry from Alexandria: a relaxed structure of Rb4C (PBE).

Unit cell a=4.7620 b=4.7620 c=16.7774 alpha=90.00 beta=90.00 gamma=120.00
Last column: nearest neighbours and their distance in Å.
Space group P-3m1 (No. 164)
Symmetry-distinct sites (fractional):
Rb  0.3333  0.6667  0.0922 [2 per cell]  3 C 3.15
Rb  0.3333  0.6667  0.3742 [2 per cell]  10 Rb 4.73-5.04
C  0.0000  0.0000  0.0000 [1 per cell]  6 Rb 3.15

Values from the calculation:
theoretical density = 1.8 g cm⁻³
spin magnetization = 2.217 Bohr magnetons per cell
calculated volume = 329.5 Å³/f.u.

Which of them is the least stable? Correct choice: run A.

Run A
Entry from Alexandria: a relaxed structure of Rb4C (PBE).

Unit cell a=6.6211 b=6.6211 c=6.6211 alpha=90.00 beta=90.00 gamma=90.00
Last column: nearest neighbours and their distance in Å.
Space group Pm-3m (No. 221)
Symmetry-distinct sites (fractional):
Rb  0.0000  0.0000  0.0000 [1 per cell]  12 Rb 4.68
Rb  0.0000  0.5000  0.5000 [3 per cell]  2 C 3.31
C  0.5000  0.5000  0.5000 [1 per cell]  6 Rb 3.31

Values from the calculation:
theoretical density = 2.0 g cm⁻³
spin magnetization = 1.989 Bohr magnetons per cell
calculated volume = 290.3 Å³/f.u.

Run B
Entry from Alexandria: a relaxed structure of Rb4C (PBE).

Unit cell a=8.1789 b=8.1789 c=8.1789 alpha=90.00 beta=90.00 gamma=90.00
Last column: nearest neighbours and their distance in Å.
Space group Im-3m (No. 229)
Symmetry-distinct sites (fractional):
Rb  0.2500  0.2500  0.2500 [8 per cell]  2 C 3.54
C  0.0000  0.0000  0.0000 [2 per cell]  8 Rb 3.54

Values from the calculation:
theoretical density = 2.1 g cm⁻³
spin magnetization = 3.562 Bohr magnetons per cell
calculated volume = 273.6 Å³/f.u.

Run C
Entry from Alexandria: a relaxed structure of Rb4C (PBE).

Unit cell a=5.4988 b=5.4988 c=24.9563 alpha=90.00 beta=90.00 gamma=90.00
Last column: nearest neighbours and their distance in Å.
Space group I4/mmm (No. 139)
Symmetry-distinct sites (fractional):
Rb  0.0000  0.0000  0.0777 [4 per cell]  1 Rb 3.88
Rb  0.0000  0.5000  0.2500 [4 per cell]  4 Rb 3.89
C  0.0000  0.0000  0.5000 [2 per cell]  8 Rb 4.34

Values from the calculation:
theoretical density = 1.6 g cm⁻³
spin magnetization = 4.753 Bohr magnetons per cell
calculated volume = 377.3 Å³/f.u.

Which of them is the least stable? Correct choice: run C.

Run A
Entry from Alexandria: a relaxed structure of Rb5C4 (PBE).

Unit cell a=9.0105 b=9.0105 c=11.4525 alpha=90.00 beta=90.00 gamma=90.00
Last column: nearest neighbours and their distance in Å.
Space group I4/mmm (No. 139)
Symmetry-distinct sites (fractional):
Rb  0.0000  0.0000  0.0000 [2 per cell]  4 Rb 3.72, 4 C 3.87
Rb  0.2077  0.2077  0.5000 [8 per cell]  2 C 2.91
C  0.0000  0.4295  0.0000 [8 per cell]  1 C 1.27

Values from the calculation:
theoretical density = 1.7 g cm⁻³
spin magnetization = 1.957 Bohr magnetons per cell
calculated volume = 464.9 Å³/f.u.

Run B
Entry from Alexandria: a relaxed structure of Rb5C4 (PBE).

Unit cell a=9.0833 b=9.0833 c=8.3620 alpha=90.00 beta=90.00 gamma=120.00
Last column: nearest neighbours and their distance in Å.
Space group P6_3/mcm (No. 193)
Symmetry-distinct sites (fractional):
Rb  0.0000  0.2458  0.2500 [6 per cell]  5 C 3.06-3.27
Rb  0.3333  0.6667  0.0000 [4 per cell]  6 C 3.44
C  0.0000  0.0000  0.0000 [2 per cell]  6 Rb 3.06
C  0.0000  0.4134  0.7500 [6 per cell]  7 Rb 3.10-3.44

Values from the calculation:
theoretical density = 2.6 g cm⁻³
spin magnetization = 22.000 Bohr magnetons per cell
calculated volume = 298.7 Å³/f.u.

Which of them is the least stable? Correct choice: run B.

Run A
Entry from Alexandria: a relaxed structure of Rb2C3 (PBE).

Unit cell a=5.4418 b=5.4418 c=6.5448 alpha=90.00 beta=90.00 gamma=120.00
Last column: nearest neighbours and their distance in Å.
Space group P-3m1 (No. 164)
Symmetry-distinct sites (fractional):
Rb  0.3333  0.6667  0.2769 [2 per cell]  8 C 3.17-3.46
C  0.0000  0.0000  0.5000 [1 per cell]  6 Rb 3.46, 6 C 3.65
C  0.3333  0.6667  0.7845 [2 per cell]  5 Rb 3.17-3.32

Values from the calculation:
theoretical density = 2.0 g cm⁻³
spin magnetization = 8.000 Bohr magnetons per cell
calculated volume = 167.8 Å³/f.u.

Run B
Entry from Alexandria: a relaxed structure of Rb2C3 (PBE).

Unit cell a=11.5920 b=20.3324 c=4.6869 alpha=90.00 beta=90.00 gamma=90.00
Last column: nearest neighbours and their distance in Å.
Space group Fdd2 (No. 43)
Symmetry-distinct sites (fractional):
Rb  0.1043  0.3148  0.0000 [16 per cell]  6 C 3.12-3.29
C  0.0000  0.0000  0.2568 [8 per cell]  2 C 1.32
C  0.0881  0.4586  0.7600 [16 per cell]  1 C 1.32

Values from the calculation:
theoretical density = 2.5 g cm⁻³
spin magnetization = 16.000 Bohr magnetons per cell
calculated volume = 138.1 Å³/f.u.

Run C
Entry from Alexandria: a relaxed structure of Rb2C3 (PBE).

Unit cell a=2.8714 b=2.8714 c=30.6995 alpha=90.00 beta=90.00 gamma=120.00
Last column: nearest neighbours and their distance in Å.
Space group R-3m (No. 166, hexagonal axes)
Symmetry-distinct sites (fractional):
Rb  0.0000  0.0000  0.0900 [6 per cell]  6 Rb 2.87, 3 C 2.88
C  0.0000  0.0000  0.3333 [6 per cell]  3 C 1.66
C  0.0000  0.0000  0.5000 [3 per cell]  6 C 2.87, 6 Rb 2.88

Values from the calculation:
theoretical density = 4.7 g cm⁻³
spin magnetization = 1.025 Bohr magnetons per cell
calculated volume = 73.1 Å³/f.u.

Which of them is the least stable? Correct choice: run A.

Run A
Entry from Alexandria: a relaxed structure of RbReC2 (PBE).

Unit cell a=8.8097 b=8.8097 c=8.8097 alpha=90.00 beta=90.00 gamma=90.00
Last column: nearest neighbours and their distance in Å.
Space group Fd-3m (No. 227, origin choice 2)
Symmetry-distinct sites (fractional):
Rb  0.1250  0.1250  0.1250 [8 per cell]  12 C 3.65, 4 Re 3.81, 4 Rb 3.81
Re  0.1250  0.1250  0.6250 [8 per cell]  4 C 1.91
C  0.0000  0.0000  0.5000 [16 per cell]  2 Re 1.91

Values from the calculation:
theoretical density = 5.7 g cm⁻³
spin magnetization = 0.000 Bohr magnetons per cell
calculated volume = 85.5 Å³/f.u.

Run B
Entry from Alexandria: a relaxed structure of RbReC2 (PBE).

Unit cell a=5.9975 b=5.9975 c=5.9975 alpha=90.00 beta=90.00 gamma=90.00
Last column: nearest neighbours and their distance in Å.
Space group Fm-3m (No. 225)
Symmetry-distinct sites (fractional):
Rb  0.0000  0.0000  0.0000 [4 per cell]  8 C 2.60
Re  0.0000  0.0000  0.5000 [4 per cell]  8 C 2.60
C  0.2500  0.2500  0.2500 [8 per cell]  4 Re 2.60, 4 Rb 2.60

Values from the calculation:
theoretical density = 9.1 g cm⁻³
spin magnetization = 0.000 Bohr magnetons per cell
calculated volume = 53.9 Å³/f.u.

Which of them is the least stable? Correct choice: run B.

Run A
Entry from Alexandria: a relaxed structure of RbRe3C (PBE).

Unit cell a=4.3026 b=4.3026 c=4.3026 alpha=90.00 beta=90.00 gamma=90.00
Last column: nearest neighbours and their distance in Å.
Space group Pm-3m (No. 221)
Symmetry-distinct sites (fractional):
Rb  0.0000  0.0000  0.0000 [1 per cell]  12 Re 3.04
Re  0.0000  0.5000  0.5000 [3 per cell]  2 C 2.15
C  0.5000  0.5000  0.5000 [1 per cell]  6 Re 2.15

Values from the calculation:
theoretical density = 13.7 g cm⁻³
spin magnetization = 0.000 Bohr magnetons per cell
calculated volume = 79.7 Å³/f.u.

Run B
Entry from Alexandria: a relaxed structure of RbRe3C (PBE).

Unit cell a=4.6853 b=4.6853 c=4.6853 alpha=90.00 beta=90.00 gamma=90.00
Last column: nearest neighbours and their distance in Å.
Space group Pm-3m (No. 221)
Symmetry-distinct sites (fractional):
Rb  0.0000  0.0000  0.0000 [1 per cell]  6 Re 2.34
Re  0.0000  0.0000  0.5000 [3 per cell]  2 Rb 2.34
C  0.5000  0.5000  0.5000 [1 per cell]  12 Re 3.31

Values from the calculation:
theoretical density = 10.6 g cm⁻³
spin magnetization = 1.926 Bohr magnetons per cell
calculated volume = 102.9 Å³/f.u.

Which of them is the least stable? Correct choice: run B.